[1]
The following is a GGA-PBE calculation of an optimized crystal structure of SiPPtO2, from the Alexandria database.

Raw total energy (eV per atom): -6.268
DOS(E_F) (states/eV/atom): 0.447
Energy above the most stable polymorph in this dataset (kJ/mol of formula units): 0.0
Formation energy without anion corrections (meV per atom): -910

abc: 3.3405 3.3405 7.3755
angles: 90.00 90.00 90.00
Space group P4/mmm (No. 123)
Unique sites:
Si (0.0000, 0.0000, 0.0000) x1
P (0.0000, 0.0000, 0.5000) x1
Pt (0.5000, 0.5000, 0.5000) x1
O (0.0000, 0.5000, 0.0000) x2

=====

[2]
The following is a GGA-PBE calculation of an optimized crystal structure of SiPPtO2, from the Alexandria database.

Raw total energy (eV per atom): -5.044
DOS(E_F) (states/eV/atom): 1.116
Energy above the most stable polymorph in this dataset (kJ/mol of formula units): 590.3
Formation energy without anion corrections (meV per atom): 314

abc: 3.8564 3.8564 5.0282
angles: 90.00 90.00 90.00
Space group P4/mmm (No. 123)
Unique sites:
Si (0.0000, 0.0000, 0.0000) x1
P (0.5000, 0.5000, 0.0000) x1
Pt (0.5000, 0.5000, 0.5000) x1
O (0.0000, 0.5000, 0.5000) x2

=====

[3]
The following is a GGA-PBE calculation of an optimized crystal structure of SnP2PtO, from the Alexandria database.

Raw total energy (eV per atom): -4.901
DOS(E_F) (states/eV/atom): 0.848
Energy above the most stable polymorph in this dataset (kJ/mol of formula units): 0.0
Formation energy without anion corrections (meV per atom): 263

abc: 4.9027 4.9027 3.8338
angles: 90.00 90.00 90.00
Space group P4/mmm (No. 123)
Unique sites:
Sn (0.0000, 0.0000, 0.0000) x1
P (0.0000, 0.5000, 0.5000) x2
Pt (0.5000, 0.5000, 0.5000) x1
O (0.5000, 0.5000, 0.0000) x1

=====

[4]
The following is a GGA-PBE calculation of an optimized crystal structure of SnPPtO2, from the Alexandria database.

Raw total energy (eV per atom): -5.096
DOS(E_F) (states/eV/atom): 0.828
Energy above the most stable polymorph in this dataset (kJ/mol of formula units): 0.0
Formation energy without anion corrections (meV per atom): -22

abc: 3.9953 3.9953 4.9288
angles: 90.00 90.00 90.00
Space group P4/mmm (No. 123)
Unique sites:
Sn (0.0000, 0.0000, 0.0000) x1
P (0.5000, 0.5000, 0.0000) x1
Pt (0.5000, 0.5000, 0.5000) x1
O (0.0000, 0.5000, 0.5000) x2

=====

[5]
The following is a GGA-PBE calculation of an optimized crystal structure of SnPPtO2, from the Alexandria database.

Raw total energy (eV per atom): -5.089
DOS(E_F) (states/eV/atom): 0.936
Energy above the most stable polymorph in this dataset (kJ/mol of formula units): 3.2
Formation energy without anion corrections (meV per atom): -15

abc: 3.7753 3.7753 6.6757
angles: 90.00 90.00 90.00
Space group P4/mmm (No. 123)
Unique sites:
Sn (0.0000, 0.0000, 0.0000) x1
P (0.0000, 0.0000, 0.5000) x1
Pt (0.5000, 0.5000, 0.5000) x1
O (0.0000, 0.5000, 0.0000) x2

=====

[6]
The following is a GGA-PBE calculation of an optimized crystal structure of SnP2PtO, from the Alexandria database.

Raw total energy (eV per atom): -4.459
DOS(E_F) (states/eV/atom): 0.822
Energy above the most stable polymorph in this dataset (kJ/mol of formula units): 213.3
Formation energy without anion corrections (meV per atom): 705

abc: 5.0565 5.0565 3.8034
angles: 90.00 90.00 90.00
Space group P4/mmm (No. 123)
Unique sites:
Sn (0.0000, 0.0000, 0.0000) x1
P (0.0000, 0.5000, 0.0000) x2
Pt (0.5000, 0.5000, 0.5000) x1
O (0.0000, 0.0000, 0.5000) x1

=====

[7]
The following is a GGA-PBE calculation of an optimized crystal structure of SnPPt2O, from the Alexandria database.

Raw total energy (eV per atom): -4.794
DOS(E_F) (states/eV/atom): 1.756
Formation energy without anion corrections (meV per atom): 497

abc: 4.3235 4.3235 5.9411
angles: 90.00 90.00 90.00
Space group P4/mmm (No. 123)
Unique sites:
Sn (0.0000, 0.0000, 0.0000) x1
P (0.0000, 0.0000, 0.5000) x1
Pt (0.0000, 0.5000, 0.5000) x2
O (0.5000, 0.5000, 0.0000) x1

=====

[8]
The following is a GGA-PBE calculation of an optimized crystal structure of SnP2PtO8, from the Alexandria database.

Raw total energy (eV per atom): -6.588
DOS(E_F) (states/eV/atom): 0.000
Formation energy without anion corrections (meV per atom): -1543

abc: 4.7659 4.7659 22.6657
angles: 90.00 90.00 120.00
Space group R-3 (No. 148, hexagonal axes)
Unique sites:
Sn (0.0000, 0.0000, 0.0000) x3
P (0.0000, 0.0000, 0.2423) x6
Pt (0.0000, 0.0000, 0.5000) x3
O (0.0000, 0.0000, 0.3101) x6
O (0.0133, 0.6942, 0.2215) x18

=====

[9]
The following is a GGA-PBE calculation of an optimized crystal structure of SrP2PtO, from the Alexandria database.

Raw total energy (eV per atom): -3.501
DOS(E_F) (states/eV/atom): 0.932
Energy above the most stable polymorph in this dataset (kJ/mol of formula units): 688.3
Formation energy without anion corrections (meV per atom): 1199

abc: 5.4660 5.4660 4.1238
angles: 90.00 90.00 90.00
Space group P4/mmm (No. 123)
Unique sites:
Sr (0.0000, 0.0000, 0.0000) x1
P (0.0000, 0.5000, 0.0000) x2
Pt (0.5000, 0.5000, 0.5000) x1
O (0.0000, 0.0000, 0.5000) x1

=====

[10]
The following is a GGA-PBE calculation of an optimized crystal structure of SrP2PtO, from the Alexandria database.

Raw total energy (eV per atom): -4.928
DOS(E_F) (states/eV/atom): 0.671
Energy above the most stable polymorph in this dataset (kJ/mol of formula units): 0.0
Formation energy without anion corrections (meV per atom): -228

abc: 4.6404 4.6404 4.5882
angles: 90.00 90.00 90.00
Space group P4/mmm (No. 123)
Unique sites:
Sr (0.0000, 0.0000, 0.0000) x1
P (0.0000, 0.5000, 0.5000) x2
Pt (0.5000, 0.5000, 0.5000) x1
O (0.5000, 0.5000, 0.0000) x1

=====

[11]
The following is a GGA-PBE calculation of an optimized crystal structure of SrPPt2O, from the Alexandria database.

Raw total energy (eV per atom): -3.619
DOS(E_F) (states/eV/atom): 0.949
Formation energy without anion corrections (meV per atom): 1208

abc: 5.3813 5.3813 4.0415
angles: 90.00 90.00 90.00
Space group P4/mmm (No. 123)
Unique sites:
Sr (0.0000, 0.0000, 0.0000) x1
P (0.5000, 0.5000, 0.5000) x1
Pt (0.0000, 0.5000, 0.0000) x2
O (0.0000, 0.0000, 0.5000) x1

=====

[12]
The following is a GGA-PBE calculation of an optimized crystal structure of TaPPtO2, from the Alexandria database.

Raw total energy (eV per atom): -6.300
DOS(E_F) (states/eV/atom): 0.740
Energy above the most stable polymorph in this dataset (kJ/mol of formula units): 710.9
Formation energy without anion corrections (meV per atom): 344

abc: 3.9070 3.9070 4.8102
angles: 90.00 90.00 90.00
Space group P4/mmm (No. 123)
Unique sites:
Ta (0.0000, 0.0000, 0.0000) x1
P (0.5000, 0.5000, 0.0000) x1
Pt (0.5000, 0.5000, 0.5000) x1
O (0.0000, 0.5000, 0.5000) x2